DFT (PBE) results for crystalline Dy2ThRu3 at its relaxed geometry.

Cell lengths 7.619, 7.619, 7.619 Å; angles 154.15, 136.97, 50.88 degrees
Fractional positions:
Dy  0.166  0.166  0.000
Dy  0.834  0.834  0.000
Th  0.500  0.500  0.000
Ru  0.000  0.500  0.500
Ru  0.339  0.839  0.500
Ru  0.661  0.161  0.500

Computed properties:
Calculated total energy, eV/atom: -7.435
Magnetization, μB per formula unit: 0.00
Energy above the lowest structure with this stoichiometry, meV/atom: 391.2
Formation energy from the elements, meV/atom: -26.7